Yb2AgSb: relaxed, PBE.

DOS(E_F) (states/eV/cell): 0.000
Magnetic moment (μB per atom): 0.0000
DFT total energy (eV per atom): -3.25

a = 5.3033 Å, b = 5.3033 Å, c = 5.3033 Å
α = 60.00°, β = 60.00°, γ = 60.00°
Last column: nearest neighbours and their distance in Å.
Sites, in units of the cell vectors:
Sb: 0.7500 0.7500 0.7500  8 Yb 3.25
Yb: 0.5000 0.5000 0.5000  4 Sb 3.25, 4 Ag 3.25
Yb: 0.0000 0.0000 0.0000  4 Ag 3.25, 4 Sb 3.25
Ag: 0.2500 0.2500 0.2500  8 Yb 3.25


CaS2N: relaxed, PBE.

DOS(E_F) (states/eV/cell): 2.147
Magnetic moment (μB per atom): 0.1913
DFT total energy (eV per atom): -4.79

a = 6.3558 Å, b = 6.3558 Å, c = 6.3558 Å
α = 40.54°, β = 40.54°, γ = 40.54°
Last column: nearest neighbours and their distance in Å.
Sites, in units of the cell vectors:
Ca: 0.5000 0.5000 0.5000  6 S 2.87
S: 0.9091 0.9091 0.9091  1 N 1.59
S: 0.0909 0.0909 0.0909  1 N 1.59
N: 0.0000 0.0000 0.0000  2 S 1.59


Number 1: formation energy (no corrections) -2.96 eV per formula unit. Number 2: formation energy (no corrections) -0.58 eV per formula unit.